Run A
## ScS3Br (PBE-GGA)

Data for a geometry-optimized ScS3Br structure.

The structure belongs to space group Pm-3m (No. 221); the cell edges are 4.806, 4.806 and 4.806 Å and the angles 90.00°, 90.00° and 90.00°. The inequivalent atoms are Sc at (0.000, 0.000, 0.000), S at (0.000, 0.500, 0.500) and Br at (0.500, 0.500, 0.500).

Its size of the total moment is 0.00 μB/cell. The calculation puts the volume at 22.2 A^3/atom. The calculation puts the density of states at the Fermi level at 0.285 states/eV/atom. For the calculated density, the calculation gives 3.31 Mg/m³.



Run B
## ScS3Br (PBE-GGA)

Data for a geometry-optimized ScS3Br structure.

The structure belongs to space group Pm-3m (No. 221); the cell edges are 4.951, 4.951 and 4.951 Å and the angles 90.00°, 90.00° and 90.00°. The inequivalent atoms are Sc at (0.000, 0.000, 0.000), S at (0.000, 0.000, 0.500) and Br at (0.500, 0.500, 0.500).

Its size of the total moment is 0.00 μB/cell. The calculation puts the volume at 24.3 A^3/atom. The calculation puts the density of states at the Fermi level at 1.638 states/eV/atom. For the calculated density, the calculation gives 3.02 Mg/m³.



run B (484 meV/atom below the next structure)